The following is a DFT calculation (PBE) of a geometry-optimized Pm5ThIr4 structure.

The structure belongs to space group C2/m (No. 12); the cell edges are 15.3909, 4.7963 and 7.1432 Å and the angles 90.00°, 97.05° and 90.00°. The inequivalent atoms are Pm at (0.0000, 0.0000, 0.0000), Pm at (0.1655, 0.5000, 0.0423), Pm at (0.1717, 0.5000, 0.5490), Th at (0.0000, 0.0000, 0.5000), Ir at (0.0092, 0.5000, 0.2689) and Ir at (0.1557, 0.0000, 0.7720).

For the energy above the most stable polymorph in this dataset, the calculation gives 0.00 kcal/mol of atoms. For the formation energy from the elements, the calculation gives -0.65 eV per atom. For the total energy, the calculation gives -73.10 eV/f.u.